# RbMnCoS2 (PBE-GGA, optimized geometry)
data_RbMnCoS2
_chemical_formula_sum 'Rb1 Mn1 Co1 S2'
_cell_length_a 4.407
_cell_length_b 4.407
_cell_length_c 6.288
_cell_angle_alpha 90.00
_cell_angle_beta 90.00
_cell_angle_gamma 90.00
_symmetry_space_group_name_H-M 'P 4/m m m'
_symmetry_Int_Tables_number 123
_symmetry_space_group_name_Hall '-P 4 2'
loop_
_atom_site_label
_atom_site_type_symbol
_atom_site_fract_x
_atom_site_fract_y
_atom_site_fract_z
Rb1 Rb 0.000 0.000 0.000
Mn1 Mn 0.000 0.000 0.500
Co1 Co 0.500 0.500 0.000
S1 S 0.000 0.500 0.500
# - DOS at the Fermi energy (states/eV per cell) = 9.62
# - final energy (eV/atom) = -4.209
# - formation energy without anion corrections (eV/atom) = 0.891
# - crystal system = tetragonal
# - theoretical density (Mg/m³) = 3.6


# Ho2Ga3SiPt4 (PBE-GGA, optimized geometry)
data_Ho2Ga3SiPt4
_chemical_formula_sum 'Ho2 Ga3 Si1 Pt4'
_cell_length_a 4.139
_cell_length_b 4.139
_cell_length_c 10.642
_cell_angle_alpha 90.00
_cell_angle_beta 90.00
_cell_angle_gamma 90.00
_symmetry_space_group_name_H-M 'P -4 m 2'
_symmetry_Int_Tables_number 115
_symmetry_space_group_name_Hall 'P -4 -2'
loop_
_atom_site_label
_atom_site_type_symbol
_atom_site_fract_x
_atom_site_fract_y
_atom_site_fract_z
Ho1 Ho 0.000 0.500 0.242
Ga1 Ga 0.000 0.000 0.000
Ga2 Ga 0.000 0.500 0.638
Si1 Si 0.500 0.500 0.000
Pt1 Pt 0.000 0.000 0.500
Pt2 Pt 0.000 0.500 0.870
Pt3 Pt 0.500 0.500 0.500
# - DOS at the Fermi energy (states/eV per cell) = 2.89
# - final energy (eV/atom) = -5.750
# - formation energy without anion corrections (eV/atom) = -0.967
# - crystal system = tetragonal
# - theoretical density (Mg/m³) = 12.3


# PmDy4Y2Tm2 (PBE-GGA, optimized geometry)
data_PmDy4Y2Tm2
_chemical_formula_sum 'Pm2 Dy8 Y4 Tm4'
_cell_length_a 18.591
_cell_length_b 3.581
_cell_length_c 9.514
_cell_angle_alpha 90.00
_cell_angle_beta 115.72
_cell_angle_gamma 90.00
_symmetry_space_group_name_H-M 'C 1 2/m 1'
_symmetry_Int_Tables_number 12
_symmetry_space_group_name_Hall '-C 2y'
loop_
_atom_site_label
_atom_site_type_symbol
_atom_site_fract_x
_atom_site_fract_y
_atom_site_fract_z
Pm1 Pm 0.000 0.000 0.000
Dy1 Dy 0.018 0.500 0.334
Dy2 Dy 0.185 0.000 0.335
Y1 Y 0.148 0.000 0.667
Tm1 Tm 0.168 0.500 0.002
# - DOS at the Fermi energy (states/eV per cell) = 25.02
# - final energy (eV/atom) = -5.001
# - crystal system = monoclinic
# - calculated formation energy (eV per atom) = 0.002
# - theoretical density (Mg/m³) = 7.6


# AcTlTeAu (PBE-GGA, optimized geometry)
data_AcTlTeAu
_chemical_formula_sum 'Ac4 Tl4 Te4 Au4'
_cell_length_a 7.834
_cell_length_b 7.834
_cell_length_c 7.834
_cell_angle_alpha 90.00
_cell_angle_beta 90.00
_cell_angle_gamma 90.00
_symmetry_space_group_name_H-M 'F -4 3 m'
_symmetry_Int_Tables_number 216
_symmetry_space_group_name_Hall 'F -4 2 3'
loop_
_atom_site_label
_atom_site_type_symbol
_atom_site_fract_x
_atom_site_fract_y
_atom_site_fract_z
Ac1 Ac 0.000 0.000 0.000
Tl1 Tl 0.000 0.000 0.500
Te1 Te 0.250 0.250 0.750
Au1 Au 0.250 0.250 0.250
# - DOS at the Fermi energy (states/eV per cell) = 14.08
# - final energy (eV/atom) = -3.931
# - formation energy without anion corrections (eV/atom) = -0.707
# - crystal system = cubic
# - theoretical density (Mg/m³) = 10.4


# LiSmErHg (PBE-GGA, optimized geometry)
data_LiSmErHg
_chemical_formula_sum 'Li4 Sm4 Er4 Hg4'
_cell_length_a 7.432
_cell_length_b 7.432
_cell_length_c 7.432
_cell_angle_alpha 90.00
_cell_angle_beta 90.00
_cell_angle_gamma 90.00
_symmetry_space_group_name_H-M 'F -4 3 m'
_symmetry_Int_Tables_number 216
_symmetry_space_group_name_Hall 'F -4 2 3'
loop_
_atom_site_label
_atom_site_type_symbol
_atom_site_fract_x
_atom_site_fract_y
_atom_site_fract_z
Li1 Li 0.000 0.000 0.000
Sm1 Sm 0.250 0.250 0.250
Er1 Er 0.250 0.250 0.750
Hg1 Hg 0.000 0.000 0.500
# - DOS at the Fermi energy (states/eV per cell) = 20.58
# - final energy (eV/atom) = -3.078
# - crystal system = cubic
# - calculated formation energy (eV per atom) = -0.204
# - theoretical density (Mg/m³) = 8.5


# Dy5YIn3 (PBE-GGA, optimized geometry)
data_Dy5YIn3
_chemical_formula_sum 'Dy10 Y2 In6'
_cell_length_a 9.3414
_cell_length_b 9.3414
_cell_length_c 6.7377
_cell_angle_alpha 90.00
_cell_angle_beta 90.00
_cell_angle_gamma 120.00
_symmetry_space_group_name_H-M 'P 63/m c m'
_symmetry_Int_Tables_number 193
_symmetry_space_group_name_Hall '-P 6c 2'
loop_
_atom_site_label
_atom_site_type_symbol
_atom_site_fract_x
_atom_site_fract_y
_atom_site_fract_z
Dy1 Dy 0.0000 0.3357 0.2500
Dy2 Dy 0.3333 0.6667 0.0000
Y1 Y 0.0000 0.0000 0.0000
In1 In 0.0000 0.3309 0.7500
# - DOS at the Fermi energy (states/eV per cell) = 21.04
# - final energy (eV/atom) = -4.547
# - crystal system = hexagonal
# - calculated formation energy (eV per atom) = -0.359
# - theoretical density (Mg/m³) = 8.1